1.
Compound: PrHoPd4
Source: Alexandria
Functional: PBE
Structure: optimized geometry

Energy above the most stable polymorph in this dataset: 65 meV/atom
Symmetry: F-43m, No. 216
Volume: 117 Å³/cell
ρ: 10.4 g cm⁻³
Raw total energy: -0.427 Ry per atom
Energy of formation from the pure elements: -0.78 eV/atom

The structure in extended XYZ format:
```
6
Lattice="-2.137 -3.969 3.139 1.670 -5.196 -0.626 3.070 -2.385 3.882" Properties=species:S:1:pos:R:3 pbc="T T T"
Pr 0.000 0.000 0.000
Pd 0.096 -6.025 2.060
Pd 2.690 -5.236 2.430
Pd 1.625 -7.213 3.994
Pd 0.793 -4.625 4.306
Ho 0.651 -2.887 1.599
```

***

2.
Compound: LiZr2Cu
Source: Alexandria
Functional: PBE
Structure: optimized geometry

Energy above the most stable polymorph in this dataset: 183 meV/atom
Symmetry: R-3m, No. 166
Volume: 79 Å³/cell
ρ: 5.3 g cm⁻³
Raw total energy: -0.410 Ry per atom
Energy of formation from the pure elements: 0.20 eV/atom

The structure in extended XYZ format:
```
4
Lattice="-2.325 -8.976 4.321 -2.417 -9.834 1.441 0.202 -9.802 2.917" Properties=species:S:1:pos:R:3 pbc="T T T"
Li -3.405 -21.459 6.509
Cu -1.135 -7.153 2.170
Zr -4.498 -28.351 8.600
Zr -2.311 -14.567 4.419
```

***

3.
Compound: DyHo2Sc7
Source: Alexandria
Functional: PBE
Structure: optimized geometry

Energy above the most stable polymorph in this dataset: 94 meV/atom
Symmetry: Cmmm, No. 65
Volume: 271 Å³/cell
ρ: 4.9 g cm⁻³
Raw total energy: -0.416 Ry per atom
Energy of formation from the pure elements: 0.15 eV/atom

The structure in extended XYZ format:
```
10
Lattice="3.322 0.000 0.000 0.000 13.108 -4.527 0.000 -9.954 9.656" Properties=species:S:1:pos:R:3 pbc="T T T"
Ho 1.661 6.441 -0.426
Ho 1.661 -3.286 5.556
Sc 0.000 8.905 -1.941
Sc 1.661 -1.499 2.670
Sc 1.661 3.059 -0.134
Sc 0.000 -5.750 7.071
Sc 1.661 1.577 2.565
Sc 1.661 4.654 2.460
Sc 1.661 0.096 5.263
Dy 0.000 0.000 0.000
```

***

4.
Compound: BaZrOF2
Source: Alexandria
Functional: PBE
Structure: optimized geometry

Energy above the most stable polymorph in this dataset: 0 meV/atom
Symmetry: P4/mmm, No. 123
Volume: 88 Å³/cell
ρ: 5.3 g cm⁻³
Raw total energy: -0.478 Ry per atom
Uncorrected formation energy: -61.7 kcal/mol of atoms

The structure in extended XYZ format:
```
5
Lattice="-0.658 -2.595 -3.695 4.462 -0.941 -0.134 -0.638 -3.384 2.490" Properties=species:S:1:pos:R:3 pbc="T T T"
Ba 1.583 -3.459 -0.670
Zr 0.000 0.000 0.000
F 2.231 -0.470 -0.067
F -0.329 -1.297 -1.847
O -0.319 -1.692 1.245
```

***

5.
Compound: LaGdRu2
Source: Alexandria
Functional: PBE
Structure: optimized geometry

Energy above the most stable polymorph in this dataset: 0 meV/atom
Symmetry: P4/mmm, No. 123
Volume: 85 Å³/cell
ρ: 9.7 g cm⁻³
Raw total energy: -0.701 Ry per atom
Energy of formation from the pure elements: -0.15 eV/atom

The structure in extended XYZ format:
```
4
Lattice="3.491 0.000 0.000 0.000 3.491 0.000 0.000 0.000 6.971" Properties=species:S:1:pos:R:3 pbc="T T T"
Ru 0.000 0.000 1.728
Ru 0.000 0.000 5.243
La 1.745 1.745 3.485
Gd 1.745 1.745 0.000
```

***

6.
Compound: GaNi2Au
Source: Alexandria
Functional: PBE
Structure: optimized geometry

Symmetry: I-42d, No. 122
Volume: 120 Å³/cell
ρ: 10.6 g cm⁻³
Raw total energy: -0.317 Ry per atom
Energy of formation from the pure elements: 0.15 eV/atom

The structure in extended XYZ format:
```
8
Lattice="-1.092 3.354 -1.150 -2.935 -1.530 -1.677 -6.702 1.893 5.897" Properties=species:S:1:pos:R:3 pbc="T T T"
Au -4.903 3.080 1.667
Au 0.000 0.000 0.000
Ni -3.676 0.027 0.252
Ni -6.615 2.062 3.318
Ni -8.470 3.057 1.995
Ni -2.695 2.288 0.577
Ga -2.013 0.912 -1.413
Ga -5.825 0.637 1.404
```

***

- What is the formula in the first record?
  PrHoPd4

***

- ρ of number 3 (DyHo2Sc7)?
  4.9 g cm⁻³

***

Copy entry 3 word for word.
Compound: DyHo2Sc7
Source: Alexandria
Functional: PBE
Structure: optimized geometry

Energy above the most stable polymorph in this dataset: 94 meV/atom
Symmetry: Cmmm, No. 65
Volume: 271 Å³/cell
ρ: 4.9 g cm⁻³
Raw total energy: -0.416 Ry per atom
Energy of formation from the pure elements: 0.15 eV/atom

The structure in extended XYZ format:
```
10
Lattice="3.322 0.000 0.000 0.000 13.108 -4.527 0.000 -9.954 9.656" Properties=species:S:1:pos:R:3 pbc="T T T"
Ho 1.661 6.441 -0.426
Ho 1.661 -3.286 5.556
Sc 0.000 8.905 -1.941
Sc 1.661 -1.499 2.670
Sc 1.661 3.059 -0.134
Sc 0.000 -5.750 7.071
Sc 1.661 1.577 2.565
Sc 1.661 4.654 2.460
Sc 1.661 0.096 5.263
Dy 0.000 0.000 0.000
```